The following is a DFT calculation (PBE-GGA) of a relaxed AcGa3CoRh crystal.

Cell: 7.292 11.045 6.135 Å, 90.00 90.00 90.00°
Space group Cmcm (No. 63)
One atom of each set of equivalent atoms:
Ac: 0.000 0.240 0.250 x4
Ga: 0.000 0.276 0.750 x4
Ga: 0.246 0.500 0.000 x8
Co: 0.000 0.476 0.750 x4
Rh: 0.000 0.062 0.750 x4

Computed properties:
Raw total energy in eV per cell: -120.80
Total magnetic moment in μB/f.u.: 0.00
Crystal system: orthorhombic
Density in g/cm3: 8.04